Model i:
DFT (meta-GGA SCAN) results for a crystal of Tl2RhW relaxed with PBEsol.

Results
The value obtained for the volume is 72 Å³/f.u. The density is 15.9 g/cm3.

Lattice parameters (Å, degrees): 9.163 9.163 9.163 19.16 19.16 19.16
Positions (direct):
Tl (0.246, 0.246, 0.246)
Tl (0.754, 0.754, 0.754)
Rh (0.500, 0.500, 0.500)
W (0.000, 0.000, 0.000)



Model ii:
DFT (meta-GGA SCAN) results for a crystal of Tl2RhW relaxed with PBEsol.

Results
The value obtained for the volume is 73 Å³/f.u. The density is 15.8 g/cm3.

Lattice parameters (Å, degrees): 2.946 4.558 5.467 90.00 93.10 90.00
Positions (direct):
Tl (0.211, 0.000, 0.254)
Tl (0.789, 0.000, 0.746)
Rh (0.000, 0.500, 0.500)
W (0.500, 0.500, 0.000)



Model iii:
DFT (meta-GGA SCAN) results for a crystal of Tl2RhW relaxed with PBEsol.

Results
The value obtained for the volume is 77 Å³/f.u. The density is 15.0 g/cm3.

Lattice parameters (Å, degrees): 3.006 8.846 8.846 19.14 90.00 90.00
Positions (direct):
Tl (0.000, 0.000, 0.000)
Tl (0.500, 0.163, 0.163)
Rh (0.000, 0.784, 0.784)
W (0.500, 0.373, 0.373)



Short version: model iii is the most stable of them.



Model i:
DFT (meta-GGA SCAN) results for a crystal of TlZnRh relaxed with PBEsol.

Results
The value obtained for the volume is 52 Å³/f.u. The density is 11.8 g/cm3.

Lattice parameters (Å, degrees): 3.049 3.049 6.499 90.00 90.00 120.00
Positions (direct):
Tl (0.000, 0.000, 0.000)
Zn (0.333, 0.667, 0.619)
Rh (0.667, 0.333, 0.340)



Model ii:
DFT (meta-GGA SCAN) results for a crystal of TlZnRh relaxed with PBEsol.

Results
The value obtained for the volume is 58 Å³/f.u. The density is 10.7 g/cm3.

Lattice parameters (Å, degrees): 4.345 4.345 4.345 60.00 60.00 60.00
Positions (direct):
Tl (0.000, 0.000, 0.000)
Zn (0.250, 0.250, 0.250)
Rh (0.750, 0.750, 0.750)



Short version: model i is the most stable of them.



Model i:
DFT (meta-GGA SCAN) results for a crystal of TlZn2Rh relaxed with PBEsol.

Results
The value obtained for the volume is 64 Å³/f.u. The density is 11.4 g/cm3.

Lattice parameters (Å, degrees): 4.569 4.569 3.167 90.00 90.00 105.89
Positions (direct):
Tl (0.000, 0.000, 0.000)
Zn (0.000, 0.500, 0.500)
Zn (0.500, 0.000, 0.500)
Rh (0.500, 0.500, 0.000)



Model ii:
DFT (meta-GGA SCAN) results for a crystal of TlZn2Rh relaxed with PBEsol.

Results
The value obtained for the volume is 68 Å³/f.u. The density is 10.6 g/cm3.

Lattice parameters (Å, degrees): 3.067 3.068 7.259 90.00 90.39 90.00
Positions (direct):
Tl (0.000, 0.000, 0.000)
Zn (0.497, 0.500, 0.312)
Zn (0.503, 0.500, 0.688)
Rh (0.000, 0.000, 0.500)



Model iii:
DFT (meta-GGA SCAN) results for a crystal of TlZn2Rh relaxed with PBEsol.

Results
The value obtained for the volume is 65 Å³/f.u. The density is 11.2 g/cm3.

Lattice parameters (Å, degrees): 3.099 4.234 4.949 90.00 90.33 90.00
Positions (direct):
Tl (0.000, 0.000, 0.000)
Zn (0.496, 0.000, 0.499)
Zn (0.994, 0.500, 0.376)
Rh (0.499, 0.500, 0.797)



Short version: model ii is the most stable of them.



Model i:
DFT (meta-GGA SCAN) results for a crystal of YRh2W relaxed with PBEsol.

Results
The value obtained for the volume is 69 Å³/f.u. The density is 11.5 g/cm3.

Lattice parameters (Å, degrees): 3.286 3.286 6.372 90.00 90.00 90.00
Positions (direct):
Y (0.000, 0.000, 0.000)
Rh (0.000, 0.000, 0.498)
Rh (0.500, 0.500, 0.249)
W (0.500, 0.500, 0.667)



Model ii:
DFT (meta-GGA SCAN) results for a crystal of YRh2W relaxed with PBEsol.

Results
The value obtained for the volume is 67 Å³/f.u. The density is 11.9 g/cm3.

Lattice parameters (Å, degrees): 2.955 2.955 7.618 90.00 90.00 90.00
Positions (direct):
Y (0.000, 0.000, 0.000)
Rh (0.500, 0.500, 0.282)
Rh (0.500, 0.500, 0.718)
W (0.000, 0.000, 0.500)



Short version: model ii is the most stable of them.



Model i:
DFT (meta-GGA SCAN) results for a crystal of Y5Rh3 relaxed with PBEsol.

Results
The value obtained for the volume is 178 Å³/f.u. The density is 7.0 g/cm3.

Lattice parameters (Å, degrees): 8.265 8.265 8.265 97.58 97.58 137.41
Positions (direct):
Y (0.083, 0.790, 0.873)
Y (0.210, 0.083, 0.292)
Y (0.250, 0.750, 0.500)
Y (0.290, 0.583, 0.873)
Y (0.417, 0.290, 0.708)
Y (0.583, 0.710, 0.292)
Y (0.710, 0.417, 0.127)
Y (0.750, 0.250, 0.500)
Y (0.790, 0.917, 0.708)
Y (0.917, 0.210, 0.127)
Rh (0.157, 0.343, 0.500)
Rh (0.250, 0.250, 0.000)
Rh (0.343, 0.843, 0.185)
Rh (0.657, 0.157, 0.815)
Rh (0.750, 0.750, 0.000)
Rh (0.843, 0.657, 0.500)



Model ii:
DFT (meta-GGA SCAN) results for a crystal of Y5Rh3 relaxed with PBEsol.

Results
The value obtained for the volume is 181 Å³/f.u. The density is 6.9 g/cm3.

Lattice parameters (Å, degrees): 10.776 10.776 6.248 90.00 90.00 90.00
Positions (direct):
Y (0.041, 0.161, 0.121)
Y (0.041, 0.339, 0.621)
Y (0.161, 0.041, 0.621)
Y (0.161, 0.459, 0.121)
Y (0.250, 0.750, 0.000)
Y (0.250, 0.750, 0.500)
Y (0.339, 0.041, 0.121)
Y (0.339, 0.459, 0.621)
Y (0.459, 0.161, 0.621)
Y (0.459, 0.339, 0.121)
Y (0.541, 0.661, 0.879)
Y (0.541, 0.839, 0.379)
Y (0.661, 0.541, 0.379)
Y (0.661, 0.959, 0.879)
Y (0.750, 0.250, 0.000)
Y (0.750, 0.250, 0.500)
Y (0.839, 0.541, 0.879)
Y (0.839, 0.959, 0.379)
Y (0.959, 0.661, 0.379)
Y (0.959, 0.839, 0.879)
Rh (0.096, 0.596, 0.750)
Rh (0.096, 0.904, 0.250)
Rh (0.250, 0.250, 0.373)
Rh (0.250, 0.250, 0.873)
Rh (0.404, 0.596, 0.250)
Rh (0.404, 0.904, 0.750)
Rh (0.596, 0.096, 0.250)
Rh (0.596, 0.404, 0.750)
Rh (0.750, 0.750, 0.127)
Rh (0.750, 0.750, 0.627)
Rh (0.904, 0.096, 0.750)
Rh (0.904, 0.404, 0.250)



Short version: model ii is the most stable of them.



Model i:
DFT (meta-GGA SCAN) results for a crystal of YZr2Rh relaxed with PBEsol.

Results
The value obtained for the volume is 85 Å³/f.u. The density is 7.3 g/cm3.

Lattice parameters (Å, degrees): 3.253 4.317 6.205 90.00 103.18 90.00
Positions (direct):
Y (0.000, 0.000, 0.000)
Zr (0.167, 0.000, 0.541)
Zr (0.610, 0.500, 0.316)
Rh (0.527, 0.500, 0.753)



Model ii:
DFT (meta-GGA SCAN) results for a crystal of YZr2Rh relaxed with PBEsol.

Results
The value obtained for the volume is 83 Å³/f.u. The density is 7.5 g/cm3.

Lattice parameters (Å, degrees): 5.914 5.914 5.914 140.62 140.62 56.91
Positions (direct):
Y (0.000, 0.000, 0.000)
Zr (0.250, 0.750, 0.500)
Zr (0.750, 0.250, 0.500)
Rh (0.500, 0.500, 0.000)



Short version: model i is the most stable of them.



Model i:
DFT (meta-GGA SCAN) results for a crystal of YZr2Rh relaxed with PBEsol.

Results
The value obtained for the volume is 84 Å³/f.u. The density is 7.4 g/cm3.

Lattice parameters (Å, degrees): 5.871 5.871 5.871 146.74 130.14 61.26
Positions (direct):
Y (0.000, 0.000, 0.000)
Zr (0.283, 0.783, 0.500)
Zr (0.717, 0.217, 0.500)
Rh (0.500, 0.500, 0.000)



Model ii:
DFT (meta-GGA SCAN) results for a crystal of YZr2Rh relaxed with PBEsol.

Results
The value obtained for the volume is 85 Å³/f.u. The density is 7.3 g/cm3.

Lattice parameters (Å, degrees): 3.326 3.326 7.656 90.00 90.00 90.00
Positions (direct):
Y (0.000, 0.000, 0.000)
Zr (0.000, 0.000, 0.572)
Zr (0.500, 0.500, 0.308)
Rh (0.500, 0.500, 0.761)



Short version: model i is the most stable of them.



Model i:
DFT (meta-GGA SCAN) results for a crystal of Zn5Rh4 relaxed with PBEsol.

Results
The value obtained for the volume is 120 Å³/f.u. The density is 10.2 g/cm3.

Lattice parameters (Å, degrees): 7.387 7.387 5.090 90.00 90.00 120.00
Positions (direct):
Zn (0.000, 0.307, 0.250)
Zn (0.000, 0.693, 0.750)
Zn (0.307, 0.000, 0.250)
Zn (0.307, 0.307, 0.750)
Zn (0.333, 0.667, 0.000)
Zn (0.333, 0.667, 0.500)
Zn (0.667, 0.333, 0.000)
Zn (0.667, 0.333, 0.500)
Zn (0.693, 0.000, 0.750)
Zn (0.693, 0.693, 0.250)
Rh (0.000, 0.000, 0.000)
Rh (0.000, 0.000, 0.500)
Rh (0.000, 0.359, 0.750)
Rh (0.000, 0.641, 0.250)
Rh (0.359, 0.000, 0.750)
Rh (0.359, 0.359, 0.250)
Rh (0.641, 0.000, 0.250)
Rh (0.641, 0.641, 0.750)



Model ii:
DFT (meta-GGA SCAN) results for a crystal of Zn5Rh4 relaxed with PBEsol.

Results
The value obtained for the volume is 119 Å³/f.u. The density is 10.3 g/cm3.

Lattice parameters (Å, degrees): 5.883 5.883 5.883 96.16 96.16 141.76
Positions (direct):
Zn (0.000, 0.000, 0.000)
Zn (0.330, 0.330, 0.661)
Zn (0.330, 0.670, 0.000)
Zn (0.670, 0.330, 0.000)
Zn (0.670, 0.670, 0.339)
Rh (0.000, 0.327, 0.327)
Rh (0.000, 0.673, 0.673)
Rh (0.327, 0.000, 0.327)
Rh (0.673, 0.000, 0.673)



Short version: model i is the most stable of them.



Model i:
DFT (meta-GGA SCAN) results for a crystal of ZrRh4 relaxed with PBEsol.

Results
The value obtained for the volume is 73 Å³/f.u. The density is 11.4 g/cm3.

Lattice parameters (Å, degrees): 4.751 4.751 4.751 99.83 99.83 131.20
Positions (direct):
Zr (0.000, 0.000, 0.000)
Rh (0.193, 0.400, 0.593)
Rh (0.400, 0.807, 0.208)
Rh (0.600, 0.193, 0.792)
Rh (0.807, 0.600, 0.407)



Model ii:
DFT (meta-GGA SCAN) results for a crystal of ZrRh4 relaxed with PBEsol.

Results
The value obtained for the volume is 80 Å³/f.u. The density is 10.4 g/cm3.

Lattice parameters (Å, degrees): 6.636 6.636 6.636 148.39 148.39 45.30
Positions (direct):
Zr (0.000, 0.000, 0.000)
Rh (0.250, 0.750, 0.500)
Rh (0.400, 0.400, 0.000)
Rh (0.600, 0.600, 0.000)
Rh (0.750, 0.250, 0.500)



Short version: model i is the most stable of them.



Model i:
DFT (meta-GGA SCAN) results for a crystal of Zr5Rh relaxed with PBEsol.

Results
The value obtained for the volume is 120 Å³/f.u. The density is 7.8 g/cm3.

Lattice parameters (Å, degrees): 7.551 7.551 5.005 90.00 90.00 155.23
Positions (direct):
Zr (0.000, 0.000, 0.000)
Zr (0.154, 0.846, 0.500)
Zr (0.334, 0.666, 0.000)
Zr (0.666, 0.334, 0.000)
Zr (0.846, 0.154, 0.500)
Rh (0.500, 0.500, 0.500)



Model ii:
DFT (meta-GGA SCAN) results for a crystal of Zr5Rh relaxed with PBEsol.

Results
The value obtained for the volume is 122 Å³/f.u. The density is 7.6 g/cm3.

Lattice parameters (Å, degrees): 3.253 3.253 11.550 90.00 90.00 90.00
Positions (direct):
Zr (0.000, 0.000, 0.000)
Zr (0.000, 0.000, 0.361)
Zr (0.000, 0.000, 0.639)
Zr (0.500, 0.500, 0.184)
Zr (0.500, 0.500, 0.816)
Rh (0.500, 0.500, 0.500)



Short version: model ii is the most stable of them.



Model i:
DFT (meta-GGA SCAN) results for a crystal of TcSb2Ru relaxed with PBEsol.

Results
The value obtained for the volume is 68 Å³/f.u. The density is 10.7 g/cm3.

Lattice parameters (Å, degrees): 5.028 5.028 4.566 102.39 102.39 37.48
Positions (direct):
Tc (0.000, 0.000, 0.000)
Sb (0.491, 0.491, 0.492)
Sb (0.733, 0.733, 0.097)
Ru (0.226, 0.226, 0.594)



Model ii:
DFT (meta-GGA SCAN) results for a crystal of TcSb2Ru relaxed with PBEsol.

Results
The value obtained for the volume is 67 Å³/f.u. The density is 11.0 g/cm3.

Lattice parameters (Å, degrees): 3.234 3.234 6.406 90.00 90.00 90.00
Positions (direct):
Tc (0.000, 0.000, 0.000)
Sb (0.500, 0.500, 0.248)
Sb (0.500, 0.500, 0.752)
Ru (0.000, 0.000, 0.500)



Model iii:
DFT (meta-GGA SCAN) results for a crystal of TcSb2Ru relaxed with PBEsol.

Results
The value obtained for the volume is 67 Å³/f.u. The density is 10.9 g/cm3.

Lattice parameters (Å, degrees): 4.563 4.563 4.563 60.00 60.00 60.00
Positions (direct):
Tc (0.000, 0.000, 0.000)
Sb (0.250, 0.250, 0.250)
Sb (0.750, 0.750, 0.750)
Ru (0.500, 0.500, 0.500)



Short version: model i is the most stable of them.



Model i:
DFT (meta-GGA SCAN) results for a crystal of ZnSbRu relaxed with PBEsol.

Results
The value obtained for the volume is 54 Å³/f.u. The density is 8.8 g/cm3.

Lattice parameters (Å, degrees): 7.129 6.855 2.996 82.80 72.55 24.64
Positions (direct):
Zn (0.000, 0.000, 0.000)
Sb (0.702, 0.702, 0.298)
Ru (0.355, 0.355, 0.645)



Model ii:
DFT (meta-GGA SCAN) results for a crystal of ZnSbRu relaxed with PBEsol.

Results
The value obtained for the volume is 54 Å³/f.u. The density is 8.9 g/cm3.

Lattice parameters (Å, degrees): 4.234 4.234 4.234 60.00 60.00 60.00
Positions (direct):
Zn (0.000, 0.000, 0.000)
Sb (0.750, 0.750, 0.750)
Ru (0.250, 0.250, 0.250)



Short version: model i is the most stable of them.